[1]
# Te2RhWI

A relaxed Te2RhWI crystal (PBE-GGA, the Alexandria database).

Output
Energy above the lowest structure with this stoichiometry in eV per atom: 0.0501

Cell and atoms, written as CIF:
```
data_Te2RhWI
_chemical_formula_sum 'Te2 Rh1 W1 I1'
_symmetry_space_group_name_H-M 'P 4/m m m'
_symmetry_Int_Tables_number 123
_symmetry_space_group_name_Hall '-P 4 2'
_cell_length_a 5.2217
_cell_length_b 5.2217
_cell_length_c 5.1948
_cell_angle_alpha 90.00
_cell_angle_beta 90.00
_cell_angle_gamma 90.00
loop_
_atom_site_label
_atom_site_fract_x
_atom_site_fract_y
_atom_site_fract_z
Te1 0.0000 0.5000 0.0000
Rh1 0.0000 0.0000 0.0000
W1 0.5000 0.5000 0.5000
I1 0.0000 0.0000 0.5000
```



[2]
# Te2RhWI

A relaxed Te2RhWI crystal (PBE-GGA, the Alexandria database).

Output
Energy above the lowest structure with this stoichiometry in eV per atom: 0.0000

Cell and atoms, written as CIF:
```
data_Te2RhWI
_chemical_formula_sum 'Te2 Rh1 W1 I1'
_symmetry_space_group_name_H-M 'P 4/m m m'
_symmetry_Int_Tables_number 123
_symmetry_space_group_name_Hall '-P 4 2'
_cell_length_a 5.1912
_cell_length_b 5.1912
_cell_length_c 5.6184
_cell_angle_alpha 90.00
_cell_angle_beta 90.00
_cell_angle_gamma 90.00
loop_
_atom_site_label
_atom_site_fract_x
_atom_site_fract_y
_atom_site_fract_z
Te1 0.0000 0.5000 0.0000
Rh1 0.0000 0.0000 0.5000
W1 0.5000 0.5000 0.0000
I1 0.5000 0.5000 0.5000
```



[3]
# TeRhWI2

A relaxed TeRhWI2 crystal (PBE-GGA, the Alexandria database).

Output
Energy above the lowest structure with this stoichiometry in eV per atom: 0.2542

Cell and atoms, written as CIF:
```
data_TeRhWI2
_chemical_formula_sum 'Te1 Rh1 W1 I2'
_symmetry_space_group_name_H-M 'P 4/m m m'
_symmetry_Int_Tables_number 123
_symmetry_space_group_name_Hall '-P 4 2'
_cell_length_a 5.1974
_cell_length_b 5.1974
_cell_length_c 5.2236
_cell_angle_alpha 90.00
_cell_angle_beta 90.00
_cell_angle_gamma 90.00
loop_
_atom_site_label
_atom_site_fract_x
_atom_site_fract_y
_atom_site_fract_z
Te1 0.0000 0.0000 0.0000
Rh1 0.0000 0.0000 0.5000
W1 0.5000 0.5000 0.0000
I1 0.0000 0.5000 0.5000
```



Magnetic moment in μB/f.u., matching the order above: 3.2; 0.4; 0.2